Entry from Alexandria via LeMat-Bulk: crystalline ZnCr3In at its relaxed geometry (GGA-PBE).

Formation energy from the elements = 1129 meV/atom
DFT total energy = -5.4478 eV per atom
Energy above the most stable polymorph in this dataset = 0.0000 eV/atom
M_tot = 11.05 μB/cell

Cell: 4.6951 4.6951 4.6951 Å, 90.00 90.00 90.00°
Space group Pm-3m (No. 221)
Inequivalent atoms, fractional coordinates:
Zn (0.0000, 0.0000, 0.0000) x1
Cr (0.0000, 0.0000, 0.5000) x3
In (0.5000, 0.5000, 0.5000) x1